Entry 1:
Computed, not measured: HfN after structural relaxation at the GGA-PBE level of DFT.

```
HfN
1.0
8.809 0.000 0.000
0.000 8.809 0.000
0.000 0.000 3.492
Hf N
8 8
Cartesian
3.393 1.637 0.000 Hf
5.416 7.172 0.000 Hf
7.172 3.393 0.000 Hf
1.637 5.416 0.000 Hf
7.797 6.041 1.746 Hf
1.011 2.768 1.746 Hf
2.768 7.797 1.746 Hf
6.041 1.011 1.746 Hf
3.354 6.657 0.000 N
5.454 2.152 0.000 N
2.152 3.354 0.000 N
6.657 5.454 0.000 N
7.758 2.252 1.746 N
1.050 6.556 1.746 N
6.556 7.758 1.746 N
2.252 1.050 1.746 N
```

## Properties
E_form (uncorrected), eV/atom: -1.349
Total magnetic moment, μB/cell: 0.00


Entry 2:
Computed, not measured: Sr3HgH2 after structural relaxation at the GGA-PBE level of DFT.

```
Sr3HgH2
1.0
-3.121 -3.886 2.150
4.898 -5.596 -3.004
2.875 1.722 7.287
Sr Hg H
6 2 4
Cartesian
0.746 -1.957 7.825 Sr
-0.275 -3.207 4.083 Sr
1.758 -2.973 0.603 Sr
2.894 -4.787 5.829 Sr
4.928 -4.553 2.350 Sr
3.906 -5.803 -1.392 Sr
2.679 -1.364 4.851 Hg
1.973 -6.396 1.581 Hg
1.217 -0.606 0.670 H
-0.344 -2.549 1.745 H
6.557 -3.268 3.612 H
4.996 -5.211 4.687 H
```

## Properties
Total magnetic moment, μB/cell: 0.00


Entry 3:
Computed, not measured: SiHg2Ru after structural relaxation at the GGA-PBE level of DFT.

```
SiHg2Ru
1.0
-3.175 -0.857 -3.313
-4.362 -1.159 1.192
-3.494 3.011 -0.719
Hg Ru Si
2 1 1
Cartesian
0.000 0.000 0.000 Hg
-2.758 0.249 -0.710 Hg
-5.516 0.497 -1.420 Ru
-8.274 0.746 -2.130 Si
```

## Properties
E_form (uncorrected), eV/atom: 0.661
Total magnetic moment, μB/cell: 0.72


Entry 4:
Computed, not measured: GaHCl after structural relaxation at the GGA-PBE level of DFT.

```
GaHCl
1.0
3.657 0.000 0.000
1.828 4.366 -0.564
1.828 0.303 7.751
H Ga Cl
2 2 2
Cartesian
5.485 4.121 2.533 H
1.828 0.548 4.654 H
3.657 3.353 4.296 Ga
3.657 1.316 2.891 Ga
1.828 1.490 1.339 Cl
5.485 3.180 5.848 Cl
```

## Properties
Total magnetic moment, μB/cell: 0.00


Entry 5:
Computed, not measured: Mg2In5Pb5 after structural relaxation at the GGA-PBE level of DFT.

```
Mg2In5Pb5
1.0
4.831 0.000 1.188
2.118 7.478 1.806
0.218 0.735 9.531
Mg In Pb
2 5 5
Cartesian
5.477 3.633 8.980 Mg
1.690 4.580 3.545 Mg
5.899 6.486 7.264 In
2.970 6.207 8.758 In
4.197 2.005 3.767 In
1.268 1.727 5.260 In
0.000 0.000 0.000 In
3.584 4.106 6.262 Pb
2.306 2.570 1.040 Pb
4.000 7.031 4.569 Pb
3.167 1.182 7.956 Pb
4.861 5.643 11.485 Pb
```

## Properties
ΔH_f (0 K), eV per atom: 0.0021
Total magnetic moment, μB/cell: 0.00


Entry 6:
Computed, not measured: La2GaCu after structural relaxation at the GGA-PBE level of DFT.

```
La2GaCu
1.0
-0.992 1.146 3.360
2.421 -2.332 1.510
5.332 5.369 -0.257
Cu Ga La
1 1 2
Cartesian
0.715 -0.593 2.435 Cu
3.381 2.091 2.306 Ga
4.023 4.051 -0.194 La
1.309 1.318 -0.063 La
```

## Properties
ΔH_f (0 K), eV per atom: -0.3482
Total magnetic moment, μB/cell: 0.00


no.,uncorrected energy (eV/atom)
1,-10.49
2,-2.44
3,-3.16
4,-3.17
5,-2.95
6,-4.59